Compound: InTe2Ir
Source: Alexandria
Functional: GGA-PBEsol
Structure: optimized geometry

CIF file:
```
data_InTe2Ir
_chemical_formula_sum 'In3 Te6 Ir3'
_space_group_name_H-M_alt 'R -3 m'
_space_group_IT_number 166
_space_group_name_Hall '-R 3 2"'
_cell_length_a 4.0399
_cell_length_b 4.0399
_cell_length_c 21.1235
_cell_angle_alpha 90.00
_cell_angle_beta 90.00
_cell_angle_gamma 120.00
loop_
_atom_site_label
_atom_site_type_symbol
_atom_site_fract_x
_atom_site_fract_y
_atom_site_fract_z
In1 In 0.0000 0.0000 0.0000
Te1 Te 0.0000 0.0000 0.2289
Ir1 Ir 0.0000 0.0000 0.5000
```

Results
The formation energy (no corrections) is -3.2 kcal/mol of atoms.

Compound: InTe2Ir
Source: Alexandria
Functional: GGA-PBEsol
Structure: optimized geometry

CIF file:
```
data_InTe2Ir
_chemical_formula_sum 'In1 Te2 Ir1'
_space_group_name_H-M_alt 'P 4 m m'
_space_group_IT_number 99
_cell_length_a 3.223
_cell_length_b 3.223
_cell_length_c 8.990
_cell_angle_alpha 90.00
_cell_angle_beta 90.00
_cell_angle_gamma 90.00
loop_
_space_group_symop_operation_xyz
'x,y,z'
'-y,x,z'
'-x,-y,z'
'y,-x,z'
'-x,y,z'
'y,x,z'
'x,-y,z'
'-y,-x,z'
loop_
_atom_site_label
_atom_site_type_symbol
_atom_site_fract_x
_atom_site_fract_y
_atom_site_fract_z
In1 In 0.000 0.000 0.000
Te1 Te 0.000 0.000 0.378
Te2 Te 0.500 0.500 0.717
Ir1 Ir 0.500 0.500 0.218
```

Results
The formation energy (no corrections) is 3.6 kcal/mol of atoms.

Compound: InTeIr2
Source: Alexandria
Functional: GGA-PBEsol
Structure: optimized geometry

CIF file:
```
data_InTeIr2
_chemical_formula_sum 'In1 Te1 Ir2'
_space_group_name_H-M_alt 'P 4 m m'
_space_group_IT_number 99
_cell_length_a 3.024
_cell_length_b 3.024
_cell_length_c 8.234
_cell_angle_alpha 90.00
_cell_angle_beta 90.00
_cell_angle_gamma 90.00
loop_
_space_group_symop_operation_xyz
'x,y,z'
'-y,x,z'
'-x,-y,z'
'y,-x,z'
'-x,y,z'
'y,x,z'
'x,-y,z'
'-y,-x,z'
loop_
_atom_site_label
_atom_site_type_symbol
_atom_site_fract_x
_atom_site_fract_y
_atom_site_fract_z
In1 In 0.000 0.000 0.000
Te1 Te 0.500 0.500 0.643
Ir1 Ir 0.000 0.000 0.437
Ir2 Ir 0.500 0.500 0.218
```

Results
The formation energy (no corrections) is 7.0 kcal/mol of atoms.

Compound: Ti3InIr
Source: Alexandria
Functional: GGA-PBEsol
Structure: optimized geometry

CIF file:
```
data_Ti3InIr
_chemical_formula_sum 'Ti3 In1 Ir1'
_space_group_name_H-M_alt 'P m -3 m'
_space_group_IT_number 221
_space_group_name_Hall '-P 4 2 3'
_cell_length_a 4.777
_cell_length_b 4.777
_cell_length_c 4.777
_cell_angle_alpha 90.00
_cell_angle_beta 90.00
_cell_angle_gamma 90.00
loop_
_atom_site_label
_atom_site_type_symbol
_atom_site_fract_x
_atom_site_fract_y
_atom_site_fract_z
Ti1 Ti 0.000 0.000 0.500
In1 In 0.000 0.000 0.000
Ir1 Ir 0.500 0.500 0.500
```

Results
The energy of formation is 1603 meV per atom.

Compound: TlInIr3
Source: Alexandria
Functional: GGA-PBEsol
Structure: optimized geometry

CIF file:
```
data_TlInIr3
_chemical_formula_sum 'Tl1 In1 Ir3'
_space_group_name_H-M_alt 'P m -3 m'
_space_group_IT_number 221
_space_group_name_Hall '-P 4 2 3'
_cell_length_a 4.812
_cell_length_b 4.812
_cell_length_c 4.812
_cell_angle_alpha 90.00
_cell_angle_beta 90.00
_cell_angle_gamma 90.00
loop_
_atom_site_label
_atom_site_type_symbol
_atom_site_fract_x
_atom_site_fract_y
_atom_site_fract_z
Tl1 Tl 0.000 0.000 0.000
In1 In 0.500 0.500 0.500
Ir1 Ir 0.000 0.500 0.500
```

Results
The energy of formation is 1978 meV per atom.

Compound: In2IrW
Source: Alexandria
Functional: GGA-PBEsol
Structure: optimized geometry

CIF file:
```
data_In2IrW
_chemical_formula_sum 'In4 Ir2 W2'
_space_group_name_H-M_alt 'C 1 2/m 1'
_space_group_IT_number 12
_cell_length_a 9.320
_cell_length_b 2.927
_cell_length_c 5.169
_cell_angle_alpha 90.00
_cell_angle_beta 101.61
_cell_angle_gamma 90.00
loop_
_space_group_symop_operation_xyz
'x,y,z'
'-x,-y,-z'
'-x,y,-z'
'x,-y,z'
'x+1/2,y+1/2,z'
'-x+1/2,-y+1/2,-z'
'-x+1/2,y+1/2,-z'
'x+1/2,-y+1/2,z'
loop_
_atom_site_label
_atom_site_type_symbol
_atom_site_fract_x
_atom_site_fract_y
_atom_site_fract_z
In1 In 0.246 0.000 0.246
Ir1 Ir 0.000 0.500 0.000
W1 W 0.000 0.000 0.500
```

Results
The energy of formation is 405 meV per atom.

Compound: In2IrW
Source: Alexandria
Functional: GGA-PBEsol
Structure: optimized geometry

CIF file:
```
data_In2IrW
_chemical_formula_sum 'In4 Ir2 W2'
_space_group_name_H-M_alt 'C 1 2/m 1'
_space_group_IT_number 12
_cell_length_a 5.816
_cell_length_b 9.270
_cell_length_c 2.890
_cell_angle_alpha 90.00
_cell_angle_beta 116.40
_cell_angle_gamma 90.00
loop_
_space_group_symop_operation_xyz
'x,y,z'
'-x,-y,-z'
'-x,y,-z'
'x,-y,z'
'x+1/2,y+1/2,z'
'-x+1/2,-y+1/2,-z'
'-x+1/2,y+1/2,-z'
'x+1/2,-y+1/2,z'
loop_
_atom_site_label
_atom_site_type_symbol
_atom_site_fract_x
_atom_site_fract_y
_atom_site_fract_z
In1 In 0.250 0.250 0.000
Ir1 Ir 0.000 0.000 0.500
W1 W 0.000 0.500 0.500
```

Results
The energy of formation is 463 meV per atom.

Compound: Y2In8Ir
Source: Alexandria
Functional: GGA-PBEsol
Structure: optimized geometry

CIF file:
```
data_Y2In8Ir
_chemical_formula_sum 'Y2 In8 Ir1'
_space_group_name_H-M_alt 'P 4/m m m'
_space_group_IT_number 123
_space_group_name_Hall '-P 4 2'
_cell_length_a 4.583
_cell_length_b 4.583
_cell_length_c 11.932
_cell_angle_alpha 90.00
_cell_angle_beta 90.00
_cell_angle_gamma 90.00
loop_
_atom_site_label
_atom_site_type_symbol
_atom_site_fract_x
_atom_site_fract_y
_atom_site_fract_z
Y1 Y 0.000 0.000 0.192
In1 In 0.000 0.500 0.000
In2 In 0.000 0.500 0.375
In3 In 0.500 0.500 0.190
Ir1 Ir 0.000 0.000 0.500
```

Results
The energy of formation is -439 meV per atom.

Compound: YInIr
Source: Alexandria
Functional: GGA-PBEsol
Structure: optimized geometry

CIF file:
```
data_YInIr
_chemical_formula_sum 'Y4 In4 Ir4'
_space_group_name_H-M_alt 'F -4 3 m'
_space_group_IT_number 216
_space_group_name_Hall 'F -4 2 3'
_cell_length_a 6.614
_cell_length_b 6.614
_cell_length_c 6.614
_cell_angle_alpha 90.00
_cell_angle_beta 90.00
_cell_angle_gamma 90.00
loop_
_atom_site_label
_atom_site_type_symbol
_atom_site_fract_x
_atom_site_fract_y
_atom_site_fract_z
Y1 Y 0.000 0.000 0.000
In1 In 0.250 0.250 0.750
Ir1 Ir 0.250 0.250 0.250
```

Results
The energy of formation is 235 meV per atom.

Compound: Zr2InIr
Source: Alexandria
Functional: GGA-PBEsol
Structure: optimized geometry

CIF file:
```
data_Zr2InIr
_chemical_formula_sum 'Zr8 In4 Ir4'
_space_group_name_H-M_alt 'F -4 3 m'
_space_group_IT_number 216
_space_group_name_Hall 'F -4 2 3'
_cell_length_a 6.689
_cell_length_b 6.689
_cell_length_c 6.689
_cell_angle_alpha 90.00
_cell_angle_beta 90.00
_cell_angle_gamma 90.00
loop_
_atom_site_label
_atom_site_type_symbol
_atom_site_fract_x
_atom_site_fract_y
_atom_site_fract_z
Zr1 Zr 0.000 0.000 0.000
Zr2 Zr 0.250 0.250 0.250
In1 In 0.000 0.000 0.500
Ir1 Ir 0.250 0.250 0.750
```

Results
The energy of formation is -279 meV per atom.

Compound: Zr2InIr
Source: Alexandria
Functional: GGA-PBEsol
Structure: optimized geometry

CIF file:
```
data_Zr2InIr
_chemical_formula_sum 'Zr2 In1 Ir1'
_space_group_name_H-M_alt 'P 4/m m m'
_space_group_IT_number 123
_space_group_name_Hall '-P 4 2'
_cell_length_a 3.052
_cell_length_b 3.052
_cell_length_c 8.241
_cell_angle_alpha 90.00
_cell_angle_beta 90.00
_cell_angle_gamma 90.00
loop_
_atom_site_label
_atom_site_type_symbol
_atom_site_fract_x
_atom_site_fract_y
_atom_site_fract_z
Zr1 Zr 0.000 0.000 0.219
In1 In 0.500 0.500 0.500
Ir1 Ir 0.500 0.500 0.000
```

Results
The energy of formation is -594 meV per atom.

Compound: Zr2InIr
Source: Alexandria
Functional: GGA-PBEsol
Structure: optimized geometry

CIF file:
```
data_Zr2InIr
_chemical_formula_sum 'Zr6 In3 Ir3'
_space_group_name_H-M_alt 'R -3 m'
_space_group_IT_number 166
_space_group_name_Hall '-R 3 2"'
_cell_length_a 3.4665
_cell_length_b 3.4665
_cell_length_c 24.8240
_cell_angle_alpha 90.00
_cell_angle_beta 90.00
_cell_angle_gamma 120.00
loop_
_atom_site_label
_atom_site_type_symbol
_atom_site_fract_x
_atom_site_fract_y
_atom_site_fract_z
Zr1 Zr 0.0000 0.0000 0.2357
In1 In 0.0000 0.0000 0.0000
Ir1 Ir 0.0000 0.0000 0.5000
```

Results
The energy of formation is -319 meV per atom.